MgVCdF6 after structural relaxation. Source: Alexandria, functional PBE with a Hubbard U.

Results
- Uncorrected energy: -5.142 eV per atom

```
data_MgVCdF6
_space_group_name_H-M_alt 'P -3 1 c'
_space_group_IT_number 163
_space_group_name_Hall '-P 3 2c'
_cell_length_a 5.4009
_cell_length_b 5.4009
_cell_length_c 9.5628
_cell_angle_alpha 90.00
_cell_angle_beta 90.00
_cell_angle_gamma 120.00
loop_
_atom_site_label
_atom_site_type_symbol
_atom_site_fract_x
_atom_site_fract_y
_atom_site_fract_z
Mg1 Mg 0.3333 0.6667 0.2500
V1 V 0.3333 0.6667 0.7500
Cd1 Cd 0.0000 0.0000 0.0000
F1 F 0.0146 0.3559 0.1365
```